A geometry-optimized Pm4Sm3In2 structure, computed with PBE.

Properties
The formation energy is -18.23 kJ per mole of atoms. The excess energy over the best structure of this formula in the dataset is 0.024 eV/atom. The space-group type is P-1.

Cell lengths 5.425, 6.908, 8.640 Å; angles 103.65, 90.05, 113.11 degrees
Sites, in units of the cell vectors:
Pm: 0.120 0.241 0.156
Pm: 0.331 0.661 0.537
Pm: 0.669 0.339 0.463
Pm: 0.880 0.759 0.844
Sm: 0.000 0.000 0.500
Sm: 0.423 0.845 0.150
Sm: 0.577 0.155 0.850
In: 0.210 0.420 0.818
In: 0.790 0.580 0.182